Here is a geometry-optimized ScMn3Tl structure from Alexandria. Energies are from PBE-GGA.

The space group is Pm-3m (No. 221) and the conventional cell measures 4.791, 4.791 and 4.791 Å, with angles of 90.00, 90.00 and 90.00 degrees. The distinct sites, in fractional coordinates, are Sc at (0.000, 0.000, 0.000), Mn at (0.000, 0.000, 0.500) and Tl at (0.500, 0.500, 0.500).

The relative energy among the computed polymorphs comes out at 0.0511 eV per atom. As for the magnetic moment: 10.04 μB/f.u.

Here is a geometry-optimized Sc2MnTl structure from Alexandria. Energies are from PBE-GGA.

The space group is Pmm2 (No. 25) and the conventional cell measures 3.298, 4.912 and 5.158 Å, with angles of 90.00, 90.00 and 90.00 degrees. The distinct sites, in fractional coordinates, are Sc at (0.000, 0.000, 0.000), Sc at (0.000, 0.500, 0.417), Mn at (0.500, 0.000, 0.524) and Tl at (0.500, 0.500, 0.899).

As for the magnetic moment: 2.58 μB/f.u.

Here is a geometry-optimized Sc2MnTl structure from Alexandria. Energies are from PBE-GGA.

The space group is P4/mmm (No. 123) and the conventional cell measures 3.378, 3.378 and 7.117 Å, with angles of 90.00, 90.00 and 90.00 degrees. The distinct sites, in fractional coordinates, are Sc at (0.000, 0.000, 0.218), Mn at (0.500, 0.500, 0.000) and Tl at (0.500, 0.500, 0.500).

As for the magnetic moment: 1.96 μB/f.u.

Here is a geometry-optimized Sc2MnTl structure from Alexandria. Energies are from PBE-GGA.

The space group is Imm2 (No. 44) and the conventional cell measures 3.423, 4.867 and 10.161 Å, with angles of 90.00, 90.00 and 90.00 degrees. The distinct sites, in fractional coordinates, are Sc at (0.000, 0.000, 0.000), Sc at (0.000, 0.500, 0.218), Mn at (0.000, 0.500, 0.729) and Tl at (0.000, 0.000, 0.453).

As for the magnetic moment: 2.43 μB/f.u.

no.,energy of formation from the pure elements (eV/atom)
1,1.24
2,-0.04
3,-0.12
4,0.00